1.
Compound: SiIrPdF2
Source: the Alexandria database
Functional: PBE
Structure: optimized geometry

## Properties
Total energy (eV per atom): -4.738
Uncorrected formation energy (kcal/mol of atoms): -2.2

Cell: 3.9037 5.5157 3.9037 Å, 90.00 90.00 90.00°
With the nearest neighbours (Å) after each atom.
Sites, in units of the cell vectors:
Si 0.5000 0.5000 0.5000  4 Pd 2.76
Ir 0.0000 0.0000 0.0000  4 F 1.95
Pd 0.0000 0.5000 0.0000  2 Ir 2.76, 4 Si 2.76
F 0.0000 0.0000 0.5000  2 Ir 1.95
F 0.5000 0.0000 0.0000  2 Ir 1.95

---

2.
Compound: ZnIrPdF2
Source: the Alexandria database
Functional: PBE
Structure: optimized geometry

## Properties
Total energy (eV per atom): -4.150
Uncorrected formation energy (kcal/mol of atoms): -7.7

Cell: 3.7787 5.9882 3.7787 Å, 90.00 90.00 90.00°
With the nearest neighbours (Å) after each atom.
Sites, in units of the cell vectors:
Zn 0.0000 0.0000 0.0000  4 F 1.89
Ir 0.5000 0.5000 0.5000  4 Pd 2.67
Pd 0.0000 0.5000 0.0000  4 Ir 2.67
F 0.0000 0.0000 0.5000  2 Zn 1.89
F 0.5000 0.0000 0.0000  2 Zn 1.89

---

3.
Compound: Pm2IrF
Source: the Alexandria database
Functional: PBE
Structure: optimized geometry

## Properties
Relative energy among the computed polymorphs (meV/atom): 178
Total energy (eV per atom): -6.573
Uncorrected formation energy (kcal/mol of atoms): -34.9

Cell: 4.0170 4.0170 8.2675 Å, 75.94 75.94 60.00°
With the nearest neighbours (Å) after each atom.
Sites, in units of the cell vectors:
Pm 0.0818 0.0818 0.7546  3 F 2.57
Pm 0.2804 0.2804 0.1589  3 Ir 2.75
Ir 0.6759 0.6759 0.9722  6 Pm 2.75-2.89
F 0.4619 0.4619 0.6144  3 Pm 2.57

---

4.
Compound: Pm6Ir3F
Source: the Alexandria database
Functional: PBE
Structure: optimized geometry

## Properties
Total energy (eV per atom): -6.728
Uncorrected formation energy (kcal/mol of atoms): -23.8

Cell: 6.8802 8.9620 8.9620 Å, 103.25 90.00 90.00°
With the nearest neighbours (Å) after each atom.
Sites, in units of the cell vectors:
Pm 0.1897 0.6959 0.6417  4 Ir 2.88-3.03
Pm 0.6897 0.6417 0.6959  4 Ir 2.88-3.03
Pm 0.2087 0.4414 0.8895  1 F 2.44
Pm 0.7087 0.8895 0.4414  1 F 2.44
Pm 0.1526 0.0421 0.9579  1 F 2.48
Pm 0.6654 0.2267 0.7733  1 F 2.48
Pm 0.1654 0.7733 0.2267  1 F 2.48
Pm 0.6526 0.9579 0.0421  1 F 2.48
Pm 0.2087 0.1105 0.5586  1 F 2.44
Pm 0.7087 0.5586 0.1105  1 F 2.44
Pm 0.1897 0.3583 0.3041  4 Ir 2.88-3.03
Pm 0.6897 0.3041 0.3583  4 Ir 2.88-3.03
Ir 0.4696 0.9403 0.7234  7 Pm 2.84-3.09
Ir 0.9696 0.7234 0.9403  7 Pm 2.84-3.09
Ir 0.4079 0.3955 0.6045  7 Pm 2.84-3.03
Ir 0.9079 0.6045 0.3955  7 Pm 2.84-3.03
Ir 0.9696 0.0597 0.2766  7 Pm 2.84-3.09
Ir 0.4696 0.2766 0.0597  7 Pm 2.84-3.09
F 0.0235 0.2071 0.7929  4 Pm 2.44-2.48
F 0.5235 0.7929 0.2071  4 Pm 2.44-2.48

---

5.
Compound: PmIrF6
Source: the Alexandria database
Functional: PBE
Structure: optimized geometry

## Properties
Total energy (eV per atom): -5.758
Uncorrected formation energy (kcal/mol of atoms): -61.2

Cell: 5.4710 5.4710 10.1844 Å, 90.00 90.00 120.00°
With the nearest neighbours (Å) after each atom.
Sites, in units of the cell vectors:
Pm 0.3333 0.6667 0.2500  6 F 2.27
Pm 0.6667 0.3333 0.7500  6 F 2.27
Ir 0.0000 0.0000 0.5000  6 F 2.03
Ir 0.0000 0.0000 0.0000  6 F 2.03
F 0.2858 0.3103 0.3822  1 Ir 2.03
F 0.7142 0.6897 0.6178  1 Ir 2.03
F 0.0244 0.7142 0.3822  1 Ir 2.03
F 0.2858 0.9756 0.1178  1 Ir 2.03
F 0.9756 0.2858 0.6178  1 Ir 2.03
F 0.7142 0.0244 0.8822  1 Ir 2.03
F 0.6897 0.9756 0.3822  1 Ir 2.03
F 0.0244 0.3103 0.1178  1 Ir 2.03
F 0.3103 0.0244 0.6178  1 Ir 2.03
F 0.9756 0.6897 0.8822  1 Ir 2.03
F 0.6897 0.7142 0.1178  1 Ir 2.03
F 0.3103 0.2858 0.8822  1 Ir 2.03

---

6.
Compound: PmIrF6
Source: the Alexandria database
Functional: PBE
Structure: optimized geometry

## Properties
Total energy (eV per atom): -5.759
Uncorrected formation energy (kcal/mol of atoms): -61.2

Cell: 5.5051 5.5074 5.9900 Å, 62.65 62.63 59.99°
With the nearest neighbours (Å) after each atom.
Sites, in units of the cell vectors:
Pm 0.5000 0.5000 0.5000  6 F 2.27
Ir 0.0000 0.0000 0.0000  6 F 2.03
F 0.1072 0.3598 0.7615  1 Ir 2.03
F 0.7712 0.1072 0.7617  1 Ir 2.03
F 0.6399 0.2291 0.2381  1 Ir 2.03
F 0.2288 0.8928 0.2383  1 Ir 2.03
F 0.8928 0.6402 0.2385  1 Ir 2.03
F 0.3601 0.7709 0.7619  1 Ir 2.03

---

7.
Compound: Pm2IrF
Source: the Alexandria database
Functional: PBE
Structure: optimized geometry

## Properties
Relative energy among the computed polymorphs (meV/atom): 0
Total energy (eV per atom): -6.751
Uncorrected formation energy (kcal/mol of atoms): -39.0

Cell: 4.2482 4.2482 7.8816 Å, 74.37 74.37 60.00°
With the nearest neighbours (Å) after each atom.
Sites, in units of the cell vectors:
F 0.0000 0.0000 0.0000  2 Pm 2.29
Ir 0.5000 0.5000 0.5000  6 Pm 2.85
Pm 0.1020 0.1020 0.6940  1 F 2.29
Pm 0.8980 0.8980 0.3060  1 F 2.29

---

8.
Compound: Pm8Ir5F
Source: the Alexandria database
Functional: PBE
Structure: optimized geometry

## Properties
Total energy (eV per atom): -6.912
Uncorrected formation energy (kcal/mol of atoms): -20.7

Cell: 7.6268 7.6268 7.6268 Å, 110.82 106.81 110.82°
With the nearest neighbours (Å) after each atom.
Sites, in units of the cell vectors:
Pm 0.1460 0.7471 0.0039  1 F 2.70, 2 Ir 2.81-2.88
Pm 0.9961 0.1421 0.7431  1 F 2.70, 2 Ir 2.81-2.88
Pm 0.7165 0.2405 0.3438  4 Ir 2.84-3.15
Pm 0.6562 0.3727 0.8966  4 Ir 2.84-3.15
Pm 0.5240 0.6273 0.2835  4 Ir 2.84-3.15
Pm 0.6010 0.8579 0.8540  1 F 2.70, 2 Ir 2.81-2.88
Pm 0.2569 0.2529 0.3990  1 F 2.70, 2 Ir 2.81-2.88
Pm 0.1034 0.7595 0.4760  4 Ir 2.84-3.15
Ir 0.0083 0.3578 0.1350  4 Pm 2.81-2.89
Ir 0.8650 0.8733 0.2228  4 Pm 2.81-2.89
Ir 0.7772 0.6422 0.6506  4 Pm 2.81-2.89
Ir 0.5000 0.0000 0.5000  4 Pm 2.84
Ir 0.3494 0.1267 0.9917  4 Pm 2.81-2.89
F 0.2500 0.5000 0.7500  4 Pm 2.70

---

9.
Compound: PmIrF
Source: the Alexandria database
Functional: PBE
Structure: optimized geometry

## Properties
Total energy (eV per atom): -6.769
Uncorrected formation energy (kcal/mol of atoms): -37.1

Cell: 3.1261 4.6907 8.2149 Å, 106.59 100.97 90.00°
With the nearest neighbours (Å) after each atom.
Sites, in units of the cell vectors:
Pm 0.8925 0.3925 0.7849  4 F 2.55, 2 Ir 2.79
Pm 0.1075 0.6075 0.2151  4 F 2.55, 2 Ir 2.79
F 0.5000 0.7457 0.0000  2 F 2.30-2.39, 4 Pm 2.55
F 0.5000 0.2543 0.0000  2 F 2.30-2.39, 4 Pm 2.55
Ir 0.2424 0.2424 0.4848  2 Pm 2.79, 6 Ir 2.83-3.13
Ir 0.7576 0.7576 0.5152  2 Pm 2.79, 6 Ir 2.83-3.13

---

10.
Compound: Pm4Ir2F5
Source: the Alexandria database
Functional: PBE
Structure: optimized geometry

## Properties
Total energy (eV per atom): -6.677
Uncorrected formation energy (kcal/mol of atoms): -57.4

Cell: 3.7624 7.0046 10.2250 Å, 78.14 100.60 90.00°
With the nearest neighbours (Å) after each atom.
Sites, in units of the cell vectors:
Pm 0.8383 0.4112 0.6766  4 F 2.30-2.46
Pm 0.9760 0.7780 0.9520  4 F 2.41-2.68
Pm 0.1617 0.5888 0.3234  4 F 2.30-2.46
Pm 0.0240 0.2220 0.0480  4 F 2.41-2.68
Ir 0.4314 0.5185 0.8628  1 Ir 2.72, 4 Pm 2.86-2.89
Ir 0.5686 0.4815 0.1372  1 Ir 2.72, 4 Pm 2.86-2.89
F 0.0943 0.8974 0.1887  2 Pm 2.30-2.41
F 0.9057 0.1026 0.8113  2 Pm 2.30-2.41
F 0.2668 0.3511 0.5336  3 Pm 2.40-2.46
F 0.5000 0.0000 0.0000  4 Pm 2.55, 4 F 2.66
F 0.7332 0.6489 0.4664  3 Pm 2.40-2.46

---

11.
Compound: Pm8Te4Ir3F
Source: the Alexandria database
Functional: PBE
Structure: optimized geometry

## Properties
Total energy (eV per atom): -6.186
Uncorrected formation energy (kcal/mol of atoms): -28.8

Cell: 8.3912 8.8856 8.3922 Å, 118.18 120.00 90.00°
With the nearest neighbours (Å) after each atom.
Sites, in units of the cell vectors:
Pm 0.2430 0.7115 0.9685  2 Ir 2.86, 1 F 2.96, 1 Te 3.18
Pm 0.2432 0.7117 0.4863  2 Ir 2.86, 1 F 2.96, 1 Te 3.17
Pm 0.2643 0.2929 0.5286  3 Ir 2.87
Pm 0.7256 0.7115 0.9685  2 Ir 2.86, 1 F 2.96, 1 Te 3.18
Pm 0.2744 0.2885 0.0315  2 Ir 2.86, 1 F 2.96, 1 Te 3.18
Pm 0.7357 0.7071 0.4714  3 Ir 2.87
Pm 0.7568 0.2883 0.5137  2 Ir 2.86, 1 F 2.96, 1 Te 3.17
Pm 0.7570 0.2885 0.0315  2 Ir 2.86, 1 F 2.96, 1 Te 3.18
Te 0.5000 0.0000 0.0000  6 Pm 3.17-3.18
Te 0.5000 0.0000 0.5000  6 Pm 3.26-3.27
Te 0.0000 0.0000 0.0000  6 Pm 3.26-3.27
Te 0.0000 0.0000 0.5000  6 Pm 3.26-3.27
Ir 0.5000 0.5000 0.0000  6 Pm 2.86-2.87
Ir 0.5000 0.5000 0.5000  6 Pm 2.86-2.87
Ir 0.0000 0.5000 0.5000  6 Pm 2.86-2.87
F 0.0000 0.5000 0.0000  6 Pm 2.96

---

12.
Compound: Pr2IrF
Source: the Alexandria database
Functional: PBE
Structure: optimized geometry

## Properties
Relative energy among the computed polymorphs (meV/atom): 159
Total energy (eV per atom): -6.559
Uncorrected formation energy (kcal/mol of atoms): -34.3

Cell: 4.0859 4.0859 8.2758 Å, 75.71 75.71 60.00°
With the nearest neighbours (Å) after each atom.
Sites, in units of the cell vectors:
Pr 0.0819 0.0819 0.7542  3 F 2.62, 3 Ir 2.93
Pr 0.2793 0.2793 0.1620  3 Ir 2.79
Ir 0.6755 0.6755 0.9736  6 Pr 2.79-2.93
F 0.4633 0.4633 0.6102  3 Pr 2.62